A geometry-optimized ScBe2As structure. Source: the Alexandria database, functional GGA-PBEsol.

```
4
Lattice="3.170 0.000 0.000 0.000 3.170 0.000 0.000 0.000 5.571" Properties=species:S:1:pos:R:3 pbc="T T T"
Sc 0.000 0.000 0.000
Be 1.585 1.585 1.712
Be 1.585 1.585 3.860
As 0.000 0.000 2.786
```

- V: 13.99 Å³ per atom
- Energy: -4.92 eV/atom

***

A geometry-optimized Cu2Au structure. Source: the Alexandria database, functional GGA-PBEsol.

```
6
Lattice="0.000 3.406 3.406 3.406 0.000 3.406 3.406 3.406 0.000" Properties=species:S:1:pos:R:3 pbc="T T T"
Cu 0.000 0.000 0.000
Cu 1.703 1.703 0.000
Cu 1.703 0.000 1.703
Cu 0.000 1.703 1.703
Au 2.555 2.555 2.555
Au 4.258 4.258 4.258
```

- V: 13.17 Å³ per atom
- Energy above the lowest structure with this stoichiometry: 0.19 eV/f.u.